Compound: AlAg3
Source: Alexandria
Functional: PBEsol
Structure: optimized geometry

ΔH_f (0 K) ... -0.084 eV/atom
Density ... 8979 kg/m³

Lattice parameters (Å, degrees): 5.701 5.701 5.027 109.30 109.30 59.07
Fractional positions:
Al 0.141 0.859 0.750
Al 0.859 0.141 0.250
Ag 0.126 0.360 0.735
Ag 0.360 0.126 0.235
Ag 0.366 0.634 0.250
Ag 0.634 0.366 0.750
Ag 0.640 0.874 0.765
Ag 0.874 0.640 0.265